Record 1
The following is a PBE calculation of PmDyGaCo after structural relaxation, from Alexandria via LeMat-Bulk.

Output
Energy of formation from the pure elements = -0.27 eV per atom
Energy relative to the lowest polymorph listed for this composition = 0.074 eV/atom
N(E_F) = 2.85 states/eV/f.u.

Cell and atoms, written as CIF:
```
data_PmDyGaCo
_chemical_formula_sum 'Pm4 Dy4 Ga4 Co4'
_symmetry_space_group_name_H-M 'F -4 3 m'
_symmetry_Int_Tables_number 216
_symmetry_space_group_name_Hall 'F -4 2 3'
_cell_length_a 7.063
_cell_length_b 7.063
_cell_length_c 7.063
_cell_angle_alpha 90.00
_cell_angle_beta 90.00
_cell_angle_gamma 90.00
loop_
_atom_site_label
_atom_site_fract_x
_atom_site_fract_y
_atom_site_fract_z
Pm1 0.000 0.000 0.000
Dy1 0.000 0.000 0.500
Ga1 0.250 0.250 0.250
Co1 0.250 0.250 0.750
```

***

Record 2
The following is a PBE calculation of Cs3Cd2InF9 after structural relaxation, from Alexandria via LeMat-Bulk.

Output
Energy relative to the elements, uncorrected = -2439 meV per atom
N(E_F) = 1.90 states/eV/f.u.

Cell and atoms, written as CIF:
```
data_Cs3Cd2InF9
_chemical_formula_sum 'Cs3 Cd2 In1 F9'
_symmetry_space_group_name_H-M 'P -3 m 1'
_symmetry_Int_Tables_number 164
_symmetry_space_group_name_Hall '-P 3 2"'
_cell_length_a 6.4917
_cell_length_b 6.4917
_cell_length_c 7.9538
_cell_angle_alpha 90.00
_cell_angle_beta 90.00
_cell_angle_gamma 120.00
loop_
_atom_site_label
_atom_site_fract_x
_atom_site_fract_y
_atom_site_fract_z
Cs1 0.0000 0.0000 0.0000
Cs2 0.3333 0.6667 0.6729
Cd1 0.3333 0.6667 0.1667
In1 0.0000 0.0000 0.5000
F1 0.0000 0.5000 0.0000
F2 0.1649 0.3298 0.3366
```

***

Record 3
The following is a PBE calculation of Mg2IrRu after structural relaxation, from Alexandria via LeMat-Bulk.

Output
Energy of formation from the pure elements = -0.03 eV per atom
N(E_F) = 4.38 states/eV/f.u.

Cell and atoms, written as CIF:
```
data_Mg2IrRu
_chemical_formula_sum 'Mg6 Ir3 Ru3'
_symmetry_space_group_name_H-M 'R -3 m'
_symmetry_Int_Tables_number 166
_symmetry_space_group_name_Hall '-R 3 2"'
_cell_length_a 2.8615
_cell_length_b 2.8615
_cell_length_c 26.2300
_cell_angle_alpha 90.00
_cell_angle_beta 90.00
_cell_angle_gamma 120.00
loop_
_atom_site_label
_atom_site_fract_x
_atom_site_fract_y
_atom_site_fract_z
Mg1 0.0000 0.0000 0.2504
Ir1 0.0000 0.0000 0.0000
Ru1 0.0000 0.0000 0.5000
```

***

Record 4
The following is a PBE calculation of Cs4ZnRh2 after structural relaxation, from Alexandria via LeMat-Bulk.

Output
Energy of formation from the pure elements = 0.62 eV per atom
N(E_F) = 9.43 states/eV/f.u.

Cell and atoms, written as CIF:
```
data_Cs4ZnRh2
_chemical_formula_sum 'Cs8 Zn2 Rh4'
_symmetry_space_group_name_H-M 'I 4/m m m'
_symmetry_Int_Tables_number 139
_symmetry_space_group_name_Hall '-I 4 2'
_cell_length_a 6.841
_cell_length_b 6.841
_cell_length_c 15.101
_cell_angle_alpha 90.00
_cell_angle_beta 90.00
_cell_angle_gamma 90.00
loop_
_atom_site_label
_atom_site_fract_x
_atom_site_fract_y
_atom_site_fract_z
Cs1 0.000 0.000 0.245
Cs2 0.000 0.500 0.000
Zn1 0.000 0.000 0.000
Rh1 0.000 0.000 0.417
```

***

Record 5
The following is a PBE calculation of TbErMn2 after structural relaxation, from Alexandria via LeMat-Bulk.

Output
Energy of formation from the pure elements = 0.19 eV per atom
N(E_F) = 4.25 states/eV/f.u.

Cell and atoms, written as CIF:
```
data_TbErMn2
_chemical_formula_sum 'Tb1 Er1 Mn2'
_symmetry_space_group_name_H-M 'P 4/m m m'
_symmetry_Int_Tables_number 123
_symmetry_space_group_name_Hall '-P 4 2'
_cell_length_a 4.930
_cell_length_b 4.930
_cell_length_c 3.580
_cell_angle_alpha 90.00
_cell_angle_beta 90.00
_cell_angle_gamma 90.00
loop_
_atom_site_label
_atom_site_fract_x
_atom_site_fract_y
_atom_site_fract_z
Tb1 0.000 0.000 0.000
Er1 0.500 0.500 0.000
Mn1 0.000 0.500 0.500
```

***

Record 6
The following is a PBE calculation of ZnInS2 after structural relaxation, from Alexandria via LeMat-Bulk.

Output
Energy relative to the elements, uncorrected = -450 meV per atom
N(E_F) = 2.35 states/eV/f.u.

Cell and atoms, written as CIF:
```
data_ZnInS2
_chemical_formula_sum 'Zn3 In3 S6'
_symmetry_space_group_name_H-M 'R 3 m'
_symmetry_Int_Tables_number 160
_symmetry_space_group_name_Hall 'R 3 -2"'
_cell_length_a 3.9545
_cell_length_b 3.9545
_cell_length_c 21.8219
_cell_angle_alpha 90.00
_cell_angle_beta 90.00
_cell_angle_gamma 120.00
loop_
_atom_site_label
_atom_site_fract_x
_atom_site_fract_y
_atom_site_fract_z
Zn1 0.0000 0.0000 0.0000
In1 0.0000 0.0000 0.5038
S1 0.0000 0.0000 0.1095
S2 0.0000 0.0000 0.6342
```